TmAlGeIr2: relaxed, PBE.

Cell lengths 4.2234, 6.9474, 6.8582 Å; angles 90.00, 90.00, 107.70 degrees
Atoms (fractional coordinates):
Tm: 0.3720 0.7439 0.7500
Tm: 0.6280 0.2561 0.2500
Al: 0.6920 0.3840 0.7500
Al: 0.3080 0.6160 0.2500
Ge: 0.0000 0.0000 0.0000
Ge: 0.0000 0.0000 0.5000
Ir: 0.1764 0.3529 0.9656
Ir: 0.8236 0.6471 0.0344
Ir: 0.1764 0.3529 0.5344
Ir: 0.8236 0.6471 0.4656

Computed properties:
The formation energy from the elements is -0.629 eV per atom. As for the density of states at the Fermi level: 5.19 states/eV/cell. The space group is No. 63.

=====

U2AlGe3Ir4: relaxed, PBE.

Cell lengths 4.1281, 4.1281, 10.5331 Å; angles 90.00, 90.00, 90.00 degrees
Site moments in Bohr magnetons follow the coordinates.
Atoms (fractional coordinates):
U: 0.5000 0.0000 0.2540  2.06
U: 0.0000 0.5000 0.7460  2.06
Al: 0.5000 0.5000 0.5000  0.00
Ge: 0.0000 0.0000 0.5000  -0.02
Ge: 0.5000 0.0000 0.8691  -0.01
Ge: 0.0000 0.5000 0.1309  -0.01
Ir: 0.5000 0.5000 0.0000  -0.05
Ir: 0.0000 0.0000 0.0000  -0.05
Ir: 0.5000 0.0000 0.6394  -0.10
Ir: 0.0000 0.5000 0.3606  -0.10

Computed properties:
The formation energy from the elements is -0.523 eV per atom. As for the density of states at the Fermi level: 16.61 states/eV/cell. The space group is No. 115.

=====

Al2VGeIr: relaxed, PBE.

Cell lengths 4.7091, 4.6777, 4.7091 Å; angles 90.00, 90.00, 90.00 degrees
Site moments in Bohr magnetons follow the coordinates.
Atoms (fractional coordinates):
Ge: 0.0000 0.5000 0.0000  0.02
Ir: 0.0000 0.0000 0.0000  0.12
Al: 0.0000 0.0000 0.5000  0.00
Al: 0.5000 0.0000 0.0000  -0.01
V: 0.5000 0.5000 0.5000  -0.12

Computed properties:
The formation energy from the elements is 0.624 eV per atom. As for the density of states at the Fermi level: 5.79 states/eV/cell. The space group is No. 123.

=====

Y2AlGe2Ir5: relaxed, PBE.

Cell lengths 3.6015, 9.7243, 9.7243 Å; angles 90.00, 90.00, 90.00 degrees
Atoms (fractional coordinates):
Y: 0.0000 0.6739 0.1739
Y: 0.0000 0.3261 0.8261
Y: 0.0000 0.1739 0.3261
Y: 0.0000 0.8261 0.6739
Al: 0.0000 0.0000 0.0000
Al: 0.0000 0.5000 0.5000
Ge: 0.0000 0.1260 0.6260
Ge: 0.0000 0.8740 0.3740
Ge: 0.0000 0.6260 0.8740
Ge: 0.0000 0.3740 0.1260
Ir: 0.5000 0.2038 0.0641
Ir: 0.5000 0.7962 0.9359
Ir: 0.5000 0.0641 0.7962
Ir: 0.5000 0.7038 0.4359
Ir: 0.5000 0.9359 0.2038
Ir: 0.5000 0.2962 0.5641
Ir: 0.5000 0.5641 0.7038
Ir: 0.5000 0.4359 0.2962
Ir: 0.5000 0.5000 0.0000
Ir: 0.5000 0.0000 0.5000

Computed properties:
The formation energy from the elements is -0.678 eV per atom. As for the density of states at the Fermi level: 6.42 states/eV/cell. The space group is No. 127.

=====

YAlGeIr2: relaxed, PBE.

Cell lengths 4.6540, 4.7119, 4.6540 Å; angles 90.00, 90.00, 90.00 degrees
Site moments in Bohr magnetons follow the coordinates.
Atoms (fractional coordinates):
Y: 0.5000 0.5000 0.5000  -0.01
Ge: 0.0000 0.0000 0.0000  0.00
Ir: 0.0000 0.0000 0.5000  0.23
Ir: 0.5000 0.0000 0.0000  0.31
Al: 0.0000 0.5000 0.0000  0.01

Computed properties:
The formation energy from the elements is 0.202 eV per atom. As for the density of states at the Fermi level: 4.38 states/eV/cell. The space group is No. 123.

=====

K2AlGe: relaxed, PBE.

Cell lengths 4.5198, 4.5198, 12.4174 Å; angles 79.51, 79.51, 90.00 degrees
Atoms (fractional coordinates):
Ge: 0.0000 0.0000 0.0000
Ge: 0.7500 0.2500 0.5000
K: 0.6297 0.1250 0.2500
K: 0.1203 0.6250 0.2500
K: 0.3750 0.3703 0.7500
K: 0.8750 0.8797 0.7500
Al: 0.5000 0.5000 0.0000
Al: 0.2500 0.7500 0.5000

Computed properties:
The formation energy from the elements is 0.524 eV per atom. As for the density of states at the Fermi level: 5.22 states/eV/cell. The space group is No. 122.

=====

KAlGe: relaxed, PBE.

Cell lengths 5.5580, 4.2984, 4.2984 Å; angles 120.00, 90.00, 90.00 degrees
Atoms (fractional coordinates):
Ge: 0.1667 0.3333 0.6667
K: 0.6666 0.6667 0.3333
Al: 0.1667 0.0000 0.0000

Computed properties:
The formation energy from the elements is -0.148 eV per atom. As for the density of states at the Fermi level: 0.07 states/eV/cell. The space group is No. 187.

=====

KAl2Ge: relaxed, PBE.

Cell lengths 8.2595, 8.2595, 6.6214 Å; angles 51.41, 51.41, 90.00 degrees
Atoms (fractional coordinates):
Ge: 0.0000 0.0000 0.0000
Ge: 0.7500 0.2500 0.5000
K: 0.5000 0.5000 0.0000
K: 0.2500 0.7500 0.5000
Al: 0.7056 0.1250 0.2500
Al: 0.0444 0.6250 0.2500
Al: 0.3750 0.2944 0.7500
Al: 0.8750 0.9556 0.7500

Computed properties:
The formation energy from the elements is 0.323 eV per atom. As for the density of states at the Fermi level: 5.67 states/eV/cell. The space group is No. 122.

=====

K2AlGe2: relaxed, PBE.

Cell lengths 6.8991, 6.8991, 5.7161 Å; angles 90.00, 90.00, 90.00 degrees
Atoms (fractional coordinates):
Ge: 0.3689 0.8689 0.0000
Ge: 0.8689 0.6311 0.0000
Ge: 0.6311 0.1311 0.0000
Ge: 0.1311 0.3689 0.0000
K: 0.1779 0.6779 0.5000
K: 0.6779 0.8221 0.5000
K: 0.8221 0.3221 0.5000
K: 0.3221 0.1779 0.5000
Al: 0.0000 0.0000 0.0000
Al: 0.5000 0.5000 0.0000

Computed properties:
The formation energy from the elements is 0.021 eV per atom. The offset from the most stable computed form is 0 meV per atom. As for the density of states at the Fermi level: 5.78 states/eV/cell. The space group is No. 127.

=====

K2AlGe2: relaxed, PBE.

Cell lengths 4.5289, 4.5289, 7.7453 Å; angles 73.00, 73.00, 90.00 degrees
Atoms (fractional coordinates):
Ge: 0.4182 0.4182 0.1636
Ge: 0.5818 0.5818 0.8364
K: 0.7500 0.2500 0.5000
K: 0.2500 0.7500 0.5000
Al: 0.0000 0.0000 0.0000

Computed properties:
The formation energy from the elements is 0.379 eV per atom. The offset from the most stable computed form is 359 meV per atom. As for the density of states at the Fermi level: 2.10 states/eV/cell. The space group is No. 139.

=====

KAl3Ge2: relaxed, PBE.

Cell lengths 4.2165, 8.7531, 8.4082 Å; angles 114.34, 90.00, 103.94 degrees
Atoms (fractional coordinates):
K: 0.8492 0.6984 0.9474
K: 0.1508 0.3016 0.0526
Al: 0.3180 0.6359 0.5518
Al: 0.9567 0.9134 0.6109
Al: 0.5802 0.1604 0.6462
Al: 0.4198 0.8396 0.3538
Al: 0.0433 0.0866 0.3891
Al: 0.6820 0.3641 0.4482
Ge: 0.4815 0.9630 0.8157
Ge: 0.5185 0.0370 0.1843
Ge: 0.8054 0.6108 0.3328
Ge: 0.1946 0.3892 0.6672

Computed properties:
The formation energy from the elements is -0.052 eV per atom. As for the density of states at the Fermi level: 2.74 states/eV/cell. The space group is No. 12.

=====

K2LiAlGe2: relaxed, PBE.

Cell lengths 6.4832, 6.3193, 9.1546 Å; angles 110.19, 110.74, 90.00 degrees
Atoms (fractional coordinates):
K: 0.4081 0.1717 0.3434
K: 0.5919 0.8283 0.6566
K: 0.0648 0.3283 0.6566
K: 0.9352 0.6717 0.3434
Li: 0.0000 0.7500 0.0000
Li: 0.0000 0.2500 0.0000
Al: 0.5000 0.7500 0.0000
Al: 0.5000 0.2500 0.0000
Ge: 0.8213 0.0890 0.1780
Ge: 0.3567 0.5890 0.1780
Ge: 0.6433 0.4110 0.8220
Ge: 0.1787 0.9110 0.8220

Computed properties:
The formation energy from the elements is -0.158 eV per atom. As for the density of states at the Fermi level: 4.61 states/eV/cell. The space group is No. 72.

=====

K2MgAlGe2: relaxed, PBE.

Cell lengths 6.3258, 6.3089, 9.4285 Å; angles 109.55, 109.60, 90.00 degrees
Atoms (fractional coordinates):
K: 0.4181 0.1749 0.3497
K: 0.5819 0.8251 0.6503
K: 0.0684 0.3251 0.6503
K: 0.9316 0.6749 0.3497
Mg: 0.0000 0.7500 0.0000
Mg: 0.0000 0.2500 0.0000
Al: 0.5000 0.7500 0.0000
Al: 0.5000 0.2500 0.0000
Ge: 0.8240 0.0939 0.1877
Ge: 0.3638 0.5939 0.1877
Ge: 0.6362 0.4061 0.8123
Ge: 0.1760 0.9061 0.8123

Computed properties:
The formation energy from the elements is -0.194 eV per atom. As for the density of states at the Fermi level: 8.35 states/eV/cell. The space group is No. 72.

=====

K2Na4AlGe2: relaxed, PBE.

Cell lengths 5.3831, 8.1140, 8.1140 Å; angles 55.58, 71.53, 71.53 degrees
Atoms (fractional coordinates):
K: 0.3539 0.6379 0.6379
K: 0.6461 0.3621 0.3621
Na: 0.1428 0.6538 0.0745
Na: 0.8572 0.9255 0.3462
Na: 0.8572 0.3462 0.9255
Na: 0.1428 0.0745 0.6538
Al: 0.5000 0.0000 0.0000
Ge: 0.3126 0.1814 0.1814
Ge: 0.6874 0.8186 0.8186

Computed properties:
The formation energy from the elements is -0.024 eV per atom. As for the density of states at the Fermi level: 2.25 states/eV/cell. The space group is No. 12.

=====

K2NbAlGe: relaxed, PBE.

Cell lengths 6.3135, 5.0379, 6.3135 Å; angles 90.00, 90.00, 90.00 degrees
Site moments in Bohr magnetons follow the coordinates.
Atoms (fractional coordinates):
K: 0.0000 0.0000 0.5000  0.01
K: 0.5000 0.0000 0.0000  0.01
Nb: 0.0000 0.5000 0.0000  2.02
Ge: 0.0000 0.0000 0.0000  -0.10
Al: 0.5000 0.5000 0.5000  0.08

Computed properties:
The formation energy from the elements is 0.960 eV per atom. As for the density of states at the Fermi level: 4.90 states/eV/cell. The space group is No. 123.

=====

KAl2NiGe: relaxed, PBE.

Cell lengths 5.1948, 4.5765, 5.1948 Å; angles 90.00, 90.00, 90.00 degrees
Atoms (fractional coordinates):
Ni: 0.0000 0.5000 0.0000
Ge: 0.0000 0.0000 0.0000
K: 0.5000 0.5000 0.5000
Al: 0.0000 0.0000 0.5000
Al: 0.5000 0.0000 0.0000

Computed properties:
The formation energy from the elements is 0.462 eV per atom. As for the density of states at the Fermi level: 3.40 states/eV/cell. The space group is No. 123.

=====

KAlGeO4: relaxed, PBE.

Cell lengths 5.4753, 5.4753, 5.4841 Å; angles 119.95, 119.95, 90.00 degrees
Atoms (fractional coordinates):
K: 0.0000 0.0000 0.0000
Al: 0.5000 0.5000 0.0000
Ge: 0.2500 0.7500 0.5000
O: 0.2745 0.1238 0.7486
O: 0.3753 0.7255 0.2514
O: 0.4741 0.6247 0.7486
O: 0.8762 0.5259 0.2514

Computed properties:
As for the density of states at the Fermi level: 0.00 states/eV/cell. Its raw total energy is -6.435 eV per atom. The space group is No. 82.

=====

KAlGe2Os: relaxed, PBE.

Cell lengths 5.1839, 5.1958, 5.1839 Å; angles 90.00, 90.00, 90.00 degrees
Site moments in Bohr magnetons follow the coordinates.
Atoms (fractional coordinates):
Ge: 0.0000 0.0000 0.5000  -0.06
Ge: 0.5000 0.0000 0.0000  -0.05
Os: 0.5000 0.5000 0.5000  2.46
K: 0.0000 0.0000 0.0000  -0.01
Al: 0.0000 0.5000 0.0000  0.00

Computed properties:
The formation energy from the elements is 2.559 eV per atom. As for the density of states at the Fermi level: 4.92 states/eV/cell. The space group is No. 123.

=====

K2Al2Ge2P: relaxed, PBE.

Cell lengths 4.4060, 7.2460, 7.9464 Å; angles 63.77, 99.73, 72.37 degrees
Atoms (fractional coordinates):
K: 0.5121 0.8474 0.7971
K: 0.4879 0.1526 0.2029
Al: 0.7522 0.3451 0.7080
Al: 0.2478 0.6549 0.2920
Ge: 0.8944 0.4201 0.3870
Ge: 0.1056 0.5799 0.6130
P: 0.0000 0.0000 0.0000

Computed properties:
The formation energy from the elements is -0.143 eV per atom. As for the density of states at the Fermi level: 2.81 states/eV/cell. The space group is No. 2.

=====

KRbAlGe2: relaxed, PBE.

Cell lengths 5.7726, 5.9505, 5.7726 Å; angles 90.00, 90.00, 90.00 degrees
Atoms (fractional coordinates):
Ge: 0.0000 0.0000 0.5000
Ge: 0.5000 0.0000 0.0000
K: 0.0000 0.0000 0.0000
Rb: 0.0000 0.5000 0.0000
Al: 0.5000 0.5000 0.5000

Computed properties:
The formation energy from the elements is 1.156 eV per atom. As for the density of states at the Fermi level: 5.60 states/eV/cell. The space group is No. 123.

=====

KRb2AlGe: relaxed, PBE.

Cell lengths 6.9631, 6.6732, 6.9631 Å; angles 90.00, 90.00, 90.00 degrees
Site moments in Bohr magnetons follow the coordinates.
Atoms (fractional coordinates):
Ge: 0.5000 0.5000 0.5000  0.75
K: 0.0000 0.5000 0.0000  -0.04
Rb: 0.0000 0.0000 0.5000  -0.04
Rb: 0.5000 0.0000 0.0000  -0.04
Al: 0.0000 0.0000 0.0000  -0.25

Computed properties:
The formation energy from the elements is 0.687 eV per atom. As for the density of states at the Fermi level: 0.76 states/eV/cell. The space group is No. 123.

=====

KAl2GeS: relaxed, PBE.

Cell lengths 4.8506, 5.4957, 4.8506 Å; angles 90.00, 90.00, 90.00 degrees
Atoms (fractional coordinates):
S: 0.0000 0.0000 0.0000
Ge: 0.5000 0.5000 0.5000
K: 0.0000 0.5000 0.0000
Al: 0.0000 0.0000 0.5000
Al: 0.5000 0.0000 0.0000

Computed properties:
As for the density of states at the Fermi level: 5.01 states/eV/cell. Its raw total energy is -3.139 eV per atom. The space group is No. 123.

=====

KAlGeS4: relaxed, PBE.

Cell lengths 7.4875, 7.4875, 7.2753 Å; angles 90.00, 90.00, 109.54 degrees
Atoms (fractional coordinates):
K: 0.5000 0.5000 0.5000
K: 0.5000 0.5000 0.0000
Al: 0.8780 0.1220 0.2500
Al: 0.1220 0.8780 0.7500
Ge: 0.1257 0.8743 0.2500
Ge: 0.8743 0.1257 0.7500
S: 0.1906 0.1978 0.7500
S: 0.8022 0.8094 0.7500
S: 0.7650 0.2350 0.9988
S: 0.7650 0.2350 0.5012
S: 0.2350 0.7650 0.0012
S: 0.2350 0.7650 0.4988
S: 0.8094 0.8022 0.2500
S: 0.1978 0.1906 0.2500

Computed properties:
Its raw total energy is -4.560 eV per atom. The space group is No. 63.

=====

KAlGe2S6: relaxed, PBE.

Cell lengths 6.8092, 9.7855, 9.7855 Å; angles 86.12, 64.82, 64.82 degrees
Atoms (fractional coordinates):
K: 0.2500 0.6490 0.3510
K: 0.7500 0.3510 0.6490
Al: 0.2500 0.2062 0.7938
Al: 0.7500 0.7938 0.2062
Ge: 0.3625 0.8346 0.6600
Ge: 0.1375 0.3400 0.1654
Ge: 0.6375 0.1654 0.3400
Ge: 0.8625 0.6600 0.8346
S: 0.0785 0.0448 0.8154
S: 0.4215 0.1846 0.9552
S: 0.9215 0.9552 0.1846
S: 0.5785 0.8154 0.0448
S: 0.3995 0.8756 0.4241
S: 0.1005 0.5759 0.1244
S: 0.6005 0.1244 0.5759
S: 0.8995 0.4241 0.8756
S: 0.2470 0.6372 0.7109
S: 0.2530 0.2891 0.3628
S: 0.7530 0.3628 0.2891
S: 0.7470 0.7109 0.6372

Computed properties:
Its raw total energy is -4.530 eV per atom. The space group is No. 15.

=====

M_tot, respectively: 0.000; 0.415; 0.006; 0.000; 0.107; 0.000; 0.000; 0.000; 0.000; 0.000; 0.000; 0.000; 0.000; 0.105; 0.689; 0.000; 0.000; 0.495; 0.000; 0.000; 0.000; 0.000; 0.000; 0.000 μB per atom.